Below is crystalline LaDyIr at its relaxed geometry, with properties calculated at the PBE-GGA level.

a b c (Å): 7.1168 6.5710 7.9163
angles (deg): 91.37 90.00 90.00
Atoms (fractional coordinates):
Ir: 0.7542 0.9975 0.8564
La: 0.4182 0.2377 0.8853
La: 0.9182 0.2623 0.6147
La: 0.0818 0.7377 0.3853
Dy: 0.9231 0.2392 0.1141
Ir: 0.7458 0.4975 0.3564
Ir: 0.2458 0.0025 0.1436
Dy: 0.0769 0.7608 0.8859
Dy: 0.4231 0.2608 0.3859
La: 0.5818 0.7623 0.1147
Dy: 0.5769 0.7392 0.6141
Ir: 0.2542 0.5025 0.6436

Results
Electronic total energy in eV for the cell shown: -81.1
SG: P2_1/c (14)
Excess energy over the best structure of this formula in the dataset in eV/atom: 0.000
DOS(E_F) in states/eV per cell: 7.167
DFT formation energy in eV per formula unit: -1.892